Compound: CaAc3Y
Source: Alexandria
Functional: GGA-PBE
Structure: relaxed

Unit cell a=8.635 b=5.567 c=8.649 alpha=90.00 beta=90.85 gamma=90.00
Space group P2_1/m (No. 11)
Asymmetric unit:
Ca: 0.245 0.250 0.259 (multiplicity 2)
Ac: 0.147 0.750 0.947 (multiplicity 2)
Ac: 0.339 0.750 0.553 (multiplicity 2)
Ac: 0.441 0.250 0.848 (multiplicity 2)
Y: 0.051 0.250 0.645 (multiplicity 2)

Offset from the most stable computed form = 0.00 eV/f.u.

Compound: Ca2Ac4Y
Source: Alexandria
Functional: GGA-PBE
Structure: relaxed

Unit cell a=6.710 b=13.964 c=6.471 alpha=90.00 beta=90.00 gamma=90.00
Space group Cmmm (No. 65)
Asymmetric unit:
Ca: 0.000 0.106 0.000 (multiplicity 4)
Ac: 0.000 0.190 0.500 (multiplicity 4)
Ac: 0.000 0.358 0.000 (multiplicity 4)
Y: 0.000 0.500 0.500 (multiplicity 2)

DFT total energy = -3.3656 eV per atom

Compound: CaAc4Y2
Source: Alexandria
Functional: GGA-PBE
Structure: relaxed

Unit cell a=3.846 b=17.049 c=17.964 alpha=90.00 beta=90.00 gamma=90.00
Space group Cmcm (No. 63)
Asymmetric unit:
Ca: 0.000 0.025 0.250 (multiplicity 4)
Ac: 0.000 0.000 0.000 (multiplicity 4)
Ac: 0.000 0.285 0.750 (multiplicity 4)
Ac: 0.000 0.359 0.136 (multiplicity 8)
Y: 0.000 0.316 0.559 (multiplicity 8)

DFT total energy = -4.3362 eV per atom

Compound: Ca2AcY
Source: Alexandria
Functional: GGA-PBE
Structure: relaxed

Unit cell a=3.7102 b=3.7102 c=40.5037 alpha=90.00 beta=90.00 gamma=120.00
Space group R-3m (No. 166, hexagonal axes)
Asymmetric unit:
Ca: 0.0000 0.0000 0.0852 (multiplicity 6)
Ac: 0.0000 0.0000 0.5000 (multiplicity 3)
Y: 0.0000 0.0000 0.0000 (multiplicity 3)

Offset from the most stable computed form = 0.61 eV/f.u.

Compound: Ca3Ac6Y
Source: Alexandria
Functional: GGA-PBE
Structure: relaxed

Unit cell a=21.6795 b=21.6795 c=4.1006 alpha=90.00 beta=90.00 gamma=120.00
Space group R3m (No. 160, hexagonal axes)
Asymmetric unit:
Ca: 0.1451 0.0726 0.0000 (multiplicity 9)
Ac: 0.0942 0.1884 0.5459 (multiplicity 9)
Ac: 0.1786 0.3573 0.0981 (multiplicity 9)
Y: 0.0000 0.0000 0.4953 (multiplicity 3)

DFT total energy = -3.1083 eV per atom

Compound: CaAcY
Source: Alexandria
Functional: GGA-PBE
Structure: relaxed

Unit cell a=3.805 b=3.805 c=16.420 alpha=90.00 beta=90.00 gamma=90.00
Space group P4/nmm (No. 129, origin choice 2)
Asymmetric unit:
Ca: 0.250 0.250 0.088 (multiplicity 2)
Ac: 0.250 0.250 0.733 (multiplicity 2)
Y: 0.250 0.250 0.426 (multiplicity 2)

Offset from the most stable computed form = 0.00 eV/f.u.

Compound: CaAc2Y
Source: Alexandria
Functional: GGA-PBE
Structure: relaxed

Unit cell a=8.654 b=8.654 c=8.654 alpha=90.00 beta=90.00 gamma=90.00
Space group Fm-3m (No. 225)
Asymmetric unit:
Ca: 0.000 0.000 0.000 (multiplicity 4)
Ac: 0.250 0.250 0.250 (multiplicity 8)
Y: 0.000 0.000 0.500 (multiplicity 4)

Offset from the most stable computed form = 0.11 eV/f.u.

Compound: CaAc2Y
Source: Alexandria
Functional: GGA-PBE
Structure: relaxed

Unit cell a=3.7490 b=3.7490 c=40.5794 alpha=90.00 beta=90.00 gamma=120.00
Space group R-3m (No. 166, hexagonal axes)
Asymmetric unit:
Ca: 0.0000 0.0000 0.0000 (multiplicity 3)
Ac: 0.0000 0.0000 0.4156 (multiplicity 6)
Y: 0.0000 0.0000 0.5000 (multiplicity 3)

Offset from the most stable computed form = 0.88 eV/f.u.